A plane-wave DFT calculation with PBE was carried out for ErNpIrO6 after structural relaxation.

The structure in POSCAR format:
```
ErNpIrO6
1.0
5.574 0.000 0.000
-2.787 4.827 0.000
0.000 0.000 8.566
O Er Np Ir
12 2 2 2
Cartesian
1.986 3.226 1.057
3.787 0.107 3.226
1.787 0.107 1.057
-1.800 3.333 7.509
1.800 3.333 5.340
-1.000 4.720 5.340
0.801 1.601 7.509
0.986 1.494 3.226
3.588 3.226 3.226
4.587 1.494 1.057
-0.801 1.601 5.340
1.000 4.720 7.509
2.787 1.609 6.425
0.000 3.218 2.142
2.787 1.609 2.142
0.000 3.218 6.425
0.000 0.000 4.283
0.000 0.000 0.000
```

Results
ΔE_f (raw): -2.2182 eV per atom

A plane-wave DFT calculation with PBE was carried out for NdGdHoPu after structural relaxation.

The structure in POSCAR format:
```
NdGdHoPu
1.0
5.630 0.000 0.000
2.815 4.876 0.000
2.815 1.625 4.597
Gd Ho Nd Pu
1 1 1 1
Cartesian
8.445 4.876 3.448
5.630 3.251 2.299
2.815 1.625 1.149
0.000 0.000 0.000
```

Results
DFT total energy: -9.234 eV/atom

A plane-wave DFT calculation with PBE was carried out for PrDyAsS after structural relaxation.

The structure in POSCAR format:
```
PrDyAsS
1.0
4.036 -0.001 0.000
-2.018 3.496 0.000
-2.017 -1.165 7.126
Dy Pr S As
1 1 1 1
Cartesian
-1.636 0.910 6.243
2.400 0.910 2.546
0.381 -0.256 4.526
-1.636 3.240 0.719
```

Results
ΔE_f (raw): -1.6912 eV per atom

Question: What is the formula in the first record?
Answer: ErNpIrO6